A.
Pt2Cl: relaxed, PBE.

Lattice parameters (Å, degrees): 8.1807 8.1807 6.0674 70.98 70.98 24.44
With the nearest neighbours (Å) after each atom.
Fractional positions:
1 Pt 0.6860 0.6860 0.0868  2 Cl 2.42, 3 Pt 2.57-2.62
2 Pt 0.7559 0.7559 0.6390  3 Pt 2.47-2.57
3 Pt 0.2441 0.2441 0.3610  3 Pt 2.47-2.57
4 Cl 0.0738 0.0738 0.1844  2 Pt 2.42
5 Pt 0.3140 0.3140 0.9132  2 Cl 2.42, 3 Pt 2.57-2.62
6 Cl 0.9262 0.9262 0.8156  2 Pt 2.42

Results
space group	No. 12
total moment	0.00	μB per atom

***

B.
Pt2Cl: relaxed, PBE.

Lattice parameters (Å, degrees): 12.9171 12.9171 12.9171 167.28 167.28 18.02
With the nearest neighbours (Å) after each atom.
Fractional positions:
1 Cl 0.7500 0.2500 0.5000  4 Cl 2.86, 8 Pt 2.92
2 Pt 0.1675 0.6675 0.5000  6 Pt 2.60-2.86
3 Pt 0.5825 0.5825 0.0000  6 Pt 2.60-2.86
4 Pt 0.3325 0.8325 0.5000  6 Pt 2.60-2.86
5 Pt 0.4175 0.4175 0.0000  6 Pt 2.60-2.86
6 Cl 0.0000 0.0000 0.0000  4 Cl 2.86, 8 Pt 2.92

Results
space group	No. 141
total moment	0.00	μB per atom

***

C.
Pt2Cl: relaxed, PBE.

Lattice parameters (Å, degrees): 5.6899 5.6899 5.6899 126.39 126.39 79.24
With the nearest neighbours (Å) after each atom.
Fractional positions:
1 Cl 0.2500 0.2500 0.0000  8 Pt 2.88
2 Pt 0.6852 0.8148 0.5000  5 Pt 2.65-2.69, 4 Cl 2.88
3 Pt 0.3148 0.1852 0.5000  5 Pt 2.65-2.69, 4 Cl 2.88
4 Pt 0.1852 0.6852 0.8704  5 Pt 2.65-2.69, 4 Cl 2.88
5 Cl 0.7500 0.7500 0.0000  8 Pt 2.88
6 Pt 0.8148 0.3148 0.1296  5 Pt 2.65-2.69, 4 Cl 2.88

Results
space group	No. 140
total moment	0.00	μB per atom

***

Stability ranking, top entry: A; the second entry is 0.418 eV/atom less favorable.

***

A.
Pt2Cl: relaxed, PBE.

Lattice parameters (Å, degrees): 5.8320 5.8320 4.6738 90.00 90.00 126.64
With the nearest neighbours (Å) after each atom.
Fractional positions:
1 Pt 0.9094 0.3604 0.7500  1 Cl 2.40, 4 Pt 2.67-2.68
2 Pt 0.3604 0.9094 0.7500  1 Cl 2.40, 4 Pt 2.67-2.68
3 Cl 0.2297 0.2297 0.7500  2 Pt 2.40
4 Pt 0.6396 0.0906 0.2500  1 Cl 2.40, 4 Pt 2.67-2.68
5 Cl 0.7703 0.7703 0.2500  2 Pt 2.40
6 Pt 0.0906 0.6396 0.2500  1 Cl 2.40, 4 Pt 2.67-2.68

Results
space group	No. 63
total moment	0.00	μB per atom

***

B.
Pt2Cl: relaxed, PBE.

Lattice parameters (Å, degrees): 9.7577 9.7577 9.7577 151.15 151.15 41.26
With the nearest neighbours (Å) after each atom.
Fractional positions:
1 Cl 0.3275 0.8275 0.5000  2 Pt 2.60, 1 Cl 2.83
2 Cl 0.1725 0.6725 0.5000  2 Pt 2.60, 1 Cl 2.83
3 Pt 0.8230 0.3230 0.5000  4 Pt 2.57-2.73
4 Pt 0.2773 0.2773 0.0000  3 Pt 2.57-2.73, 2 Cl 2.60
5 Pt 0.7227 0.7227 0.0000  3 Pt 2.57-2.73, 2 Cl 2.60
6 Pt 0.5273 0.0273 0.5000  3 Pt 2.57-2.73, 2 Cl 2.60
7 Pt 0.9727 0.4727 0.5000  3 Pt 2.57-2.73, 2 Cl 2.60
8 Pt 0.5730 0.5730 0.0000  4 Pt 2.57-2.73
9 Cl 0.0775 0.0775 0.0000  2 Pt 2.60, 1 Cl 2.83
10 Pt 0.4270 0.4270 0.0000  4 Pt 2.57-2.73
11 Pt 0.6770 0.1770 0.5000  4 Pt 2.57-2.73
12 Cl 0.9225 0.9225 0.0000  2 Pt 2.60, 1 Cl 2.83

Results
space group	No. 141
total moment	0.00	μB per atom

***

C.
Pt2Cl: relaxed, PBE.

Lattice parameters (Å, degrees): 5.9814 5.9814 8.3370 90.00 90.00 120.00
With the nearest neighbours (Å) after each atom.
Fractional positions:
1 Pt 0.0000 0.0000 0.0000  6 Pt 2.61
2 Pt 0.3020 0.1510 0.2500  2 Cl 2.47, 4 Pt 2.61-2.71
3 Cl 0.6667 0.3333 0.0586  3 Pt 2.47
4 Pt 0.8490 0.6980 0.2500  2 Cl 2.47, 4 Pt 2.61-2.71
5 Pt 0.1510 0.3020 0.7500  2 Cl 2.47, 4 Pt 2.61-2.71
6 Cl 0.3333 0.6667 0.5586  3 Pt 2.47
7 Pt 0.1510 0.8490 0.7500  2 Cl 2.47, 4 Pt 2.61-2.71
8 Cl 0.6667 0.3333 0.4414  3 Pt 2.47
9 Pt 0.6980 0.8490 0.7500  2 Cl 2.47, 4 Pt 2.61-2.71
10 Cl 0.3333 0.6667 0.9414  3 Pt 2.47
11 Pt 0.0000 0.0000 0.5000  6 Pt 2.61
12 Pt 0.8490 0.1510 0.2500  2 Cl 2.47, 4 Pt 2.61-2.71

Results
space group	No. 194
total moment	0.00	μB per atom

***

Stability ranking, top entry: C; the second entry is 0.030 eV/atom less favorable.

***

A.
Pt2Cl: relaxed, PBE.

Lattice parameters (Å, degrees): 4.2665 4.2665 4.2665 60.00 60.00 60.00
With the nearest neighbours (Å) after each atom.
Fractional positions:
1 Cl 0.0000 0.0000 0.0000  8 Pt 2.61
2 Pt 0.7500 0.7500 0.7500  4 Cl 2.61
3 Pt 0.2500 0.2500 0.2500  4 Cl 2.61

Results
space group	No. 225
total moment	0.00	μB per atom

***

B.
Pt2Cl: relaxed, PBE.

Lattice parameters (Å, degrees): 8.1348 8.1348 2.8528 90.00 90.00 120.00
With the nearest neighbours (Å) after each atom.
Fractional positions:
1 Pt 0.2758 0.2758 0.5000  1 Cl 2.24
2 Cl 0.0000 0.0000 0.5000  3 Pt 2.24
3 Pt 0.7242 0.0000 0.5000  1 Cl 2.24
4 Pt 0.0000 0.7242 0.5000  1 Cl 2.24
5 Cl 0.3333 0.6667 0.0000  3 Pt 2.40
6 Pt 0.4390 0.0000 0.0000  2 Cl 2.40
7 Cl 0.6667 0.3333 0.0000  3 Pt 2.40
8 Pt 0.5610 0.5610 0.0000  2 Cl 2.40
9 Pt 0.0000 0.4390 0.0000  2 Cl 2.40

Results
space group	No. 189
total moment	0.00	μB per atom

***

C.
Pt2Cl: relaxed, PBE.

Lattice parameters (Å, degrees): 3.4544 3.4544 5.2387 90.00 90.00 120.00
With the nearest neighbours (Å) after each atom.
Fractional positions:
1 Pt 0.3333 0.6667 0.6564  3 Pt 2.58, 3 Cl 2.69
2 Pt 0.6667 0.3333 0.3436  3 Pt 2.58, 3 Cl 2.69
3 Cl 0.0000 0.0000 0.0000  6 Pt 2.69

Results
space group	No. 164
total moment	0.00	μB per atom

***

Stability ranking, top entry: C; the second entry is 0.185 eV/atom less favorable.

***

A.
Pt2Cl: relaxed, PBE.

Lattice parameters (Å, degrees): 6.4168 6.4168 8.8840 54.38 54.38 25.71
With the nearest neighbours (Å) after each atom.
Fractional positions:
1 Pt 0.9996 0.9996 0.5759  6 Pt 2.63-2.86
2 Cl 0.0318 0.0318 0.9316  2 Pt 2.33
3 Pt 0.3611 0.3611 0.5000  6 Pt 2.63-2.86
4 Cl 0.6904 0.6904 0.0684  2 Pt 2.33
5 Pt 0.3611 0.3611 0.0000  4 Cl 2.33
6 Pt 0.7226 0.7226 0.4241  6 Pt 2.63-2.86

Results
space group	No. 12
total moment	0.00	μB per atom

***

B.
Pt2Cl: relaxed, PBE.

Lattice parameters (Å, degrees): 4.2797 4.2797 6.3898 90.00 90.00 120.00
With the nearest neighbours (Å) after each atom.
Fractional positions:
1 Pt 0.6667 0.3333 0.7500  3 Cl 2.47
2 Cl 0.6667 0.3333 0.2500  3 Pt 2.47
3 Pt 0.3333 0.6667 0.2500  3 Cl 2.47
4 Pt 0.0000 0.0000 0.5000  6 Cl 2.94, 8 Pt 2.94-3.19
5 Cl 0.3333 0.6667 0.7500  3 Pt 2.47
6 Pt 0.0000 0.0000 0.0000  6 Cl 2.94, 8 Pt 2.94-3.19

Results
space group	No. 194
total moment	0.00	μB per atom

***

C.
Pt2Cl: relaxed, PBE.

Lattice parameters (Å, degrees): 3.7229 3.7229 9.0212 90.00 90.00 120.00
With the nearest neighbours (Å) after each atom.
Fractional positions:
1 Pt 0.3333 0.6667 0.9191  3 Pt 2.60, 3 Cl 2.64
2 Pt 0.6667 0.3333 0.4191  3 Pt 2.60, 3 Cl 2.64
3 Cl 0.0000 0.0000 0.7500  6 Pt 2.64
4 Pt 0.3333 0.6667 0.5809  3 Pt 2.60, 3 Cl 2.64
5 Pt 0.6667 0.3333 0.0809  3 Pt 2.60, 3 Cl 2.64
6 Cl 0.0000 0.0000 0.2500  6 Pt 2.64

Results
space group	No. 194
total moment	0.00	μB per atom

***

D.
Pt2Cl: relaxed, PBE.

Lattice parameters (Å, degrees): 6.6946 6.6946 5.3954 90.00 90.00 155.38
With the nearest neighbours (Å) after each atom.
Fractional positions:
1 Pt 0.0846 0.9154 0.7500  2 Cl 2.59, 4 Pt 2.63-2.85
2 Pt 0.5846 0.4154 0.2500  2 Cl 2.59, 4 Pt 2.63-2.85
3 Pt 0.4154 0.5846 0.7500  2 Cl 2.59, 4 Pt 2.63-2.85
4 Cl 0.7499 0.2501 0.7500  4 Pt 2.59, 2 Cl 2.85
5 Pt 0.9154 0.0846 0.2500  2 Cl 2.59, 4 Pt 2.63-2.85
6 Cl 0.2501 0.7499 0.2500  4 Pt 2.59, 2 Cl 2.85

Results
space group	No. 69
total moment	0.00	μB per atom

***

Stability ranking, top entry: C; the second entry is 0.041 eV/atom less favorable.